# Dy3WO7

A geometry-optimized Dy3WO7 structure (GGA+U, Alexandria via LeMat-Bulk).

The space group is C222_1 (No. 20) and the conventional cell measures 7.527, 10.557 and 7.482 Å, with angles of 90.00, 90.00 and 90.00 degrees. The distinct sites, in fractional coordinates, are Dy at (0.022, 0.000, 0.000), Dy at (0.233, 0.266, 0.754), W at (0.000, 0.500, 0.000), O at (0.000, 0.131, 0.250), O at (0.000, 0.137, 0.750), O at (0.000, 0.425, 0.750), O at (0.191, 0.374, 0.034) and O at (0.204, 0.378, 0.473).

The calculation puts the total energy at -8.23 eV per atom.